Record 1
Cu2PW | PBE-GGA | relaxed

abc: 5.0041 5.0041 2.6491
angles: 97.17 97.17 121.96
With the nearest neighbours (Å) after each atom.
Fractional coordinates of all 4 atoms:
1 Cu 0.0000 0.5000 0.0000  4 Cu 2.43-2.65, 2 W 2.68, 2 P 2.68
2 Cu 0.5000 0.0000 0.0000  4 Cu 2.43-2.65, 2 W 2.68, 2 P 2.68
3 P 0.0000 0.0000 0.5000  2 W 2.43, 2 P 2.65, 4 Cu 2.68
4 W 0.5000 0.5000 0.5000  2 P 2.43, 2 W 2.65, 4 Cu 2.68

***

Record 2
CuP2W | PBE-GGA | relaxed

abc: 10.3738 10.3738 10.3738
angles: 15.61 15.61 15.61
With the nearest neighbours (Å) after each atom.
Fractional coordinates of all 4 atoms:
1 Cu 0.0000 0.0000 0.0000  3 P 2.44
2 P 0.2741 0.2741 0.2741  3 Cu 2.44
3 P 0.4700 0.4700 0.4700  3 W 2.54, 6 P 2.82
4 W 0.7398 0.7398 0.7398  3 P 2.54, 3 Cu 2.77, 6 W 2.82

***

Record 3
CuPW2 | PBE-GGA | relaxed

abc: 3.2619 3.2619 5.3475
angles: 90.00 90.00 90.00
With the nearest neighbours (Å) after each atom.
Fractional coordinates of all 4 atoms:
1 Cu 0.0000 0.0000 0.0000  6 W 2.62-2.72, 4 P 2.66
2 P 0.5000 0.5000 0.2481  6 W 2.56-2.79, 4 Cu 2.66
3 W 0.0000 0.0000 0.4921  2 Cu 2.63-2.72, 4 P 2.65, 4 W 2.74
4 W 0.5000 0.5000 0.7692  2 P 2.56-2.79, 4 Cu 2.62, 4 W 2.74

***

Record 4
CuPW2 | PBE-GGA | relaxed

abc: 4.8158 4.8158 4.8158
angles: 134.12 134.12 66.90
With the nearest neighbours (Å) after each atom.
Fractional coordinates of all 4 atoms:
1 Cu 0.0000 0.0000 0.0000  8 W 2.65-2.75, 4 P 2.75
2 P 0.2500 0.7500 0.5000  8 W 2.65-2.75, 4 Cu 2.75
3 W 0.5000 0.5000 0.0000  4 Cu 2.65, 4 W 2.75, 4 P 2.75
4 W 0.7500 0.2500 0.5000  4 P 2.65, 4 W 2.75, 4 Cu 2.75

***

| no. | formation energy from the elements (eV/atom) | final energy (eV/atom) |
| --- | --- | --- |
| 1 | 0.227 | -6.41 |
| 2 | 0.397 | -6.57 |
| 3 | 0.181 | -8.67 |
| 4 | 0.356 | -8.50 |